First-principles (PBE-GGA) data for an optimized crystal structure of TiWSCl2, as listed in the Alexandria database.

N(E_F)	0.79	states/eV/atom
formation energy (no corrections)	1.8	eV per formula unit
distance to the lowest polymorph of the same formula	0	meV/atom
space-group type	P4/mmm (123)

Cell lengths 4.6716, 4.6716, 5.0573 Å; angles 90.00, 90.00, 90.00 degrees
Positions (direct):
Ti: 0.0000 0.0000 0.0000
W: 0.5000 0.5000 0.5000
S: 0.0000 0.0000 0.5000
Cl: 0.0000 0.5000 0.0000
Cl: 0.5000 0.0000 0.0000

First-principles (PBE-GGA) data for an optimized crystal structure of Mg2Cd5Ga4, as listed in the Alexandria database.

N(E_F)	0.32	states/eV/atom
formation enthalpy at 0 K	-2	meV per atom
space-group type	P-1 (2)

Cell lengths 5.9012, 6.0743, 7.1275 Å; angles 76.54, 89.93, 73.47 degrees
Positions (direct):
Mg: 0.2333 0.0181 0.3234
Mg: 0.7667 0.9819 0.6766
Cd: 0.0000 0.5000 0.5000
Cd: 0.0872 0.6891 0.0599
Cd: 0.4203 0.2771 0.9296
Cd: 0.5797 0.7229 0.0704
Cd: 0.9128 0.3109 0.9401
Ga: 0.2468 0.9880 0.7273
Ga: 0.4596 0.3881 0.3725
Ga: 0.5404 0.6119 0.6275
Ga: 0.7532 0.0120 0.2727

First-principles (PBE-GGA) data for an optimized crystal structure of RbSc2BF, as listed in the Alexandria database.

N(E_F)	0.96	states/eV/atom
formation energy (no corrections)	-1.6	eV per formula unit
space-group type	P4/mmm (123)

Cell lengths 4.5036, 4.5036, 7.2067 Å; angles 90.00, 90.00, 90.00 degrees
Positions (direct):
Rb: 0.0000 0.0000 0.0000
Sc: 0.0000 0.5000 0.5000
Sc: 0.5000 0.0000 0.5000
B: 0.0000 0.0000 0.5000
F: 0.5000 0.5000 0.0000

First-principles (PBE-GGA) data for an optimized crystal structure of NaInC, as listed in the Alexandria database.

N(E_F)	0.42	states/eV/atom
formation enthalpy at 0 K	948	meV per atom
space-group type	Pnma (62)

Cell lengths 6.4580, 3.9209, 9.9534 Å; angles 90.00, 90.00, 90.00 degrees
Positions (direct):
Na: 0.0883 0.2500 0.1215
Na: 0.4117 0.7500 0.6215
Na: 0.5883 0.2500 0.3785
Na: 0.9117 0.7500 0.8785
In: 0.0846 0.7500 0.3944
In: 0.4154 0.2500 0.8944
In: 0.5846 0.7500 0.1056
In: 0.9154 0.2500 0.6056
C: 0.2138 0.2500 0.4516
C: 0.2862 0.7500 0.9516
C: 0.7138 0.2500 0.0484
C: 0.7862 0.7500 0.5484

First-principles (PBE-GGA) data for an optimized crystal structure of KSi4Ni, as listed in the Alexandria database.

N(E_F)	0.75	states/eV/atom
formation energy (no corrections)	3.5	eV per formula unit
space-group type	F-43m (216)

Cell lengths 5.2645, 5.2645, 5.2645 Å; angles 60.00, 60.00, 60.00 degrees
Positions (direct):
K: 0.0000 0.0000 0.0000
Si: 0.3762 0.3762 0.3762
Si: 0.3762 0.3762 0.8713
Si: 0.3762 0.8713 0.3762
Si: 0.8713 0.3762 0.3762
Ni: 0.7500 0.7500 0.7500

First-principles (PBE-GGA) data for an optimized crystal structure of AgTe2Au2, as listed in the Alexandria database.

N(E_F)	0.32	states/eV/atom
formation energy (no corrections)	1.7	eV per formula unit
distance to the lowest polymorph of the same formula	208	meV/atom
space-group type	I4/mmm (139)

Cell lengths 7.4425, 7.4425, 7.4425 Å; angles 145.83, 145.83, 49.10 degrees
Positions (direct):
Ag: 0.0000 0.0000 0.0000
Te: 0.2500 0.7500 0.5000
Te: 0.7500 0.2500 0.5000
Au: 0.4035 0.4035 0.0000
Au: 0.5965 0.5965 0.0000

First-principles (PBE-GGA) data for an optimized crystal structure of Pm6Pr2Nd3Sc, as listed in the Alexandria database.

N(E_F)	1.50	states/eV/atom
formation enthalpy at 0 K	26	meV per atom
space-group type	C2/m (12)

Cell lengths 6.2985, 6.2985, 12.0900 Å; angles 95.01, 95.01, 119.98 degrees
Positions (direct):
Pm: 0.0817 0.4106 0.2473
Pm: 0.2474 0.2474 0.7523
Pm: 0.4106 0.0817 0.2473
Pm: 0.5894 0.9183 0.7527
Pm: 0.7526 0.7526 0.2477
Pm: 0.9183 0.5894 0.7527
Pr: 0.3333 0.6667 0.0000
Pr: 0.6667 0.3333 0.0000
Nd: 0.1665 0.8335 0.5000
Nd: 0.5000 0.5000 0.5000
Nd: 0.8335 0.1665 0.5000
Sc: 0.0000 0.0000 0.0000

First-principles (PBE-GGA) data for an optimized crystal structure of Li3Mg5In, as listed in the Alexandria database.

N(E_F)	0.40	states/eV/atom
formation enthalpy at 0 K	120	meV per atom
space-group type	C2/m (12)

Cell lengths 6.3671, 6.3671, 10.8619 Å; angles 95.02, 95.02, 77.65 degrees
Positions (direct):
Li: 0.0000 0.0000 0.0000
Li: 0.0000 0.0000 0.5000
Li: 0.2430 0.2430 0.3865
Li: 0.2580 0.2580 0.9402
Li: 0.7420 0.7420 0.0598
Li: 0.7570 0.7570 0.6135
Mg: 0.0092 0.4084 0.1602
Mg: 0.2851 0.2851 0.6479
Mg: 0.3188 0.6812 0.5000
Mg: 0.4084 0.0092 0.1602
Mg: 0.4759 0.4759 0.1501
Mg: 0.5241 0.5241 0.8499
Mg: 0.5916 0.9908 0.8398
Mg: 0.6812 0.3188 0.5000
Mg: 0.7149 0.7149 0.3521
Mg: 0.9908 0.5916 0.8398
In: 0.0295 0.0295 0.7490
In: 0.9705 0.9705 0.2510

First-principles (PBE-GGA) data for an optimized crystal structure of SrIn, as listed in the Alexandria database.

N(E_F)	0.31	states/eV/atom
formation enthalpy at 0 K	-438	meV per atom
space-group type	Fdd2 (43)

Cell lengths 13.6850, 6.6025, 13.9809 Å; angles 73.71, 27.59, 78.70 degrees
Positions (direct):
Sr: 0.1674 0.3038 0.4872
Sr: 0.2084 0.7628 0.9462
Sr: 0.3038 0.1674 0.0416
Sr: 0.3276 0.6724 0.5306
Sr: 0.6724 0.3276 0.4694
Sr: 0.7194 0.7806 0.9224
Sr: 0.7628 0.2084 0.0826
Sr: 0.7806 0.7194 0.5776
In: 0.1113 0.2899 0.9596
In: 0.2034 0.8684 0.3711
In: 0.2899 0.1113 0.6393
In: 0.2904 0.6107 0.1387
In: 0.6107 0.2904 0.9601
In: 0.6930 0.8789 0.3816
In: 0.8684 0.2034 0.5570
In: 0.8789 0.6930 0.0466

First-principles (PBE-GGA) data for an optimized crystal structure of Ta2BeIr, as listed in the Alexandria database.

N(E_F)	0.70	states/eV/atom
formation enthalpy at 0 K	-241	meV per atom
space-group type	Pmm2 (25)

Cell lengths 2.9056, 3.4150, 6.1298 Å; angles 90.00, 90.00, 90.00 degrees
Positions (direct):
Ta: 0.0000 0.0000 0.0000
Ta: 0.5000 0.5000 0.3001
Be: 0.0000 0.0000 0.5569
Ir: 0.5000 0.5000 0.7345

First-principles (PBE-GGA) data for an optimized crystal structure of BaNa2InAs2, as listed in the Alexandria database.

N(E_F)	0.32	states/eV/atom
formation enthalpy at 0 K	-581	meV per atom
space-group type	Pmc2_1 (26)

Cell lengths 4.6691, 9.4455, 7.7568 Å; angles 90.00, 90.00, 90.00 degrees
Positions (direct):
Ba: 0.0000 0.0617 0.0000
Ba: 0.0000 0.9383 0.5000
Na: 0.0000 0.3474 0.3651
Na: 0.0000 0.6526 0.8651
Na: 0.5000 0.4182 0.0423
Na: 0.5000 0.5818 0.5423
In: 0.5000 0.2175 0.6459
In: 0.5000 0.7825 0.1459
As: 0.0000 0.3497 0.7530
As: 0.0000 0.6503 0.2530
As: 0.5000 0.1562 0.2950
As: 0.5000 0.8438 0.7950

First-principles (PBE-GGA) data for an optimized crystal structure of LaW2Cl, as listed in the Alexandria database.

N(E_F)	0.83	states/eV/atom
formation energy (no corrections)	4.1	eV per formula unit
distance to the lowest polymorph of the same formula	1073	meV/atom
space-group type	I-42d (122)

Cell lengths 9.1983, 9.1983, 9.1983 Å; angles 150.28, 150.28, 42.53 degrees
Positions (direct):
La: 0.0000 0.0000 0.0000
La: 0.7500 0.2500 0.5000
W: 0.2907 0.1250 0.6657
W: 0.3750 0.7093 0.8343
W: 0.4593 0.6250 0.3343
W: 0.8750 0.5407 0.1657
Cl: 0.2500 0.7500 0.5000
Cl: 0.5000 0.5000 0.0000

First-principles (PBE-GGA) data for an optimized crystal structure of TlReP2O8, as listed in the Alexandria database.

N(E_F)	0.28	states/eV/atom
formation energy (no corrections)	-21.5	eV per formula unit
space-group type	R-3 (148)

Cell lengths 9.2626, 9.2626, 9.2626 Å; angles 31.00, 31.00, 31.00 degrees
Positions (direct):
Tl: 0.0000 0.0000 0.0000
Re: 0.5000 0.5000 0.5000
P: 0.2324 0.2324 0.2324
P: 0.7676 0.7676 0.7676
O: 0.1063 0.7387 0.5243
O: 0.2613 0.4757 0.8937
O: 0.2891 0.2891 0.2891
O: 0.4757 0.8937 0.2613
O: 0.5243 0.1063 0.7387
O: 0.7109 0.7109 0.7109
O: 0.7387 0.5243 0.1063
O: 0.8937 0.2613 0.4757

First-principles (PBE-GGA) data for an optimized crystal structure of LiHoLu2, as listed in the Alexandria database.

N(E_F)	1.25	states/eV/atom
formation enthalpy at 0 K	181	meV per atom
distance to the lowest polymorph of the same formula	100	meV/atom
space-group type	P4/mmm (123)

Cell lengths 5.4205, 5.4205, 3.7694 Å; angles 90.00, 90.00, 90.00 degrees
Positions (direct):
Li: 0.0000 0.0000 0.0000
Ho: 0.5000 0.5000 0.0000
Lu: 0.0000 0.5000 0.5000
Lu: 0.5000 0.0000 0.5000

First-principles (PBE-GGA) data for an optimized crystal structure of RbThPdO4, as listed in the Alexandria database.

N(E_F)	0.95	states/eV/atom
formation energy (no corrections)	-13.1	eV per formula unit
space-group type	Imma (74)

Cell lengths 7.5392, 7.5392, 7.5392 Å; angles 130.78, 122.03, 79.42 degrees
Positions (direct):
Rb: 0.4267 0.1767 0.2500
Rb: 0.5733 0.8233 0.7500
Th: 0.0000 0.5000 0.5000
Th: 0.5000 0.5000 0.0000
Pd: 0.0000 0.0000 0.5000
Pd: 0.0000 0.5000 0.0000
O: 0.1317 0.7105 0.4212
O: 0.2107 0.2895 0.9212
O: 0.2665 0.3049 0.5384
O: 0.2665 0.7281 0.9616
O: 0.7335 0.2719 0.0384
O: 0.7335 0.6951 0.4616
O: 0.7893 0.7105 0.0788
O: 0.8683 0.2895 0.5788

First-principles (PBE-GGA) data for an optimized crystal structure of YBAsSe2, as listed in the Alexandria database.

N(E_F)	0.42	states/eV/atom
formation energy (no corrections)	-0.6	eV per formula unit
distance to the lowest polymorph of the same formula	0	meV/atom
space-group type	P4/mmm (123)

Cell lengths 4.7321, 4.7321, 4.2972 Å; angles 90.00, 90.00, 90.00 degrees
Positions (direct):
Y: 0.0000 0.0000 0.0000
B: 0.5000 0.5000 0.5000
As: 0.5000 0.5000 0.0000
Se: 0.0000 0.5000 0.5000
Se: 0.5000 0.0000 0.5000

First-principles (PBE-GGA) data for an optimized crystal structure of Ba2MgIr, as listed in the Alexandria database.

N(E_F)	0.82	states/eV/atom
formation enthalpy at 0 K	-179	meV per atom
space-group type	R3m (160)

Cell lengths 8.9980, 8.9980, 8.9980 Å; angles 29.88, 29.88, 29.88 degrees
Positions (direct):
Ba: 0.0000 0.0000 0.0000
Ba: 0.1641 0.1641 0.1641
Mg: 0.7487 0.7487 0.7487
Ir: 0.4152 0.4152 0.4152

First-principles (PBE-GGA) data for an optimized crystal structure of Mn5Zn24, as listed in the Alexandria database.

N(E_F)	0.65	states/eV/atom
formation enthalpy at 0 K	46	meV per atom
space-group type	I-43m (217)

Cell lengths 8.1680, 8.1680, 8.1680 Å; angles 109.47, 109.47, 109.47 degrees
Positions (direct):
Mn: 0.0000 0.0000 0.0000
Mn: 0.0000 0.0000 0.3660
Mn: 0.0000 0.3660 0.0000
Mn: 0.3660 0.0000 0.0000
Mn: 0.6340 0.6340 0.6340
Zn: 0.0000 0.3140 0.5997
Zn: 0.0000 0.5997 0.3140
Zn: 0.0000 0.6292 0.8104
Zn: 0.0000 0.8104 0.6292
Zn: 0.1812 0.3708 0.3708
Zn: 0.1896 0.1896 0.8188
Zn: 0.1896 0.8188 0.1896
Zn: 0.2857 0.6860 0.6860
Zn: 0.3140 0.0000 0.5997
Zn: 0.3140 0.5997 0.0000
Zn: 0.3708 0.1812 0.3708
Zn: 0.3708 0.3708 0.1812
Zn: 0.4003 0.4003 0.7143
Zn: 0.4003 0.7143 0.4003
Zn: 0.5997 0.0000 0.3140
Zn: 0.5997 0.3140 0.0000
Zn: 0.6292 0.0000 0.8104
Zn: 0.6292 0.8104 0.0000
Zn: 0.6860 0.2857 0.6860
Zn: 0.6860 0.6860 0.2857
Zn: 0.7143 0.4003 0.4003
Zn: 0.8104 0.0000 0.6292
Zn: 0.8104 0.6292 0.0000
Zn: 0.8188 0.1896 0.1896

First-principles (PBE-GGA) data for an optimized crystal structure of MnAl4Cu7, as listed in the Alexandria database.

N(E_F)	0.46	states/eV/atom
formation enthalpy at 0 K	-142	meV per atom
space-group type	P-1 (2)

Cell lengths 5.2665, 5.8525, 5.8629 Å; angles 72.83, 65.15, 78.25 degrees
Positions (direct):
Mn: 0.0000 0.0000 0.0000
Al: 0.1680 0.6817 0.3389
Al: 0.4051 0.6803 0.8171
Al: 0.5949 0.3197 0.1829
Al: 0.8320 0.3183 0.6611
Cu: 0.0956 0.3436 0.1618
Cu: 0.2503 0.0049 0.4930
Cu: 0.3277 0.3349 0.6666
Cu: 0.5000 0.0000 0.0000
Cu: 0.6723 0.6651 0.3334
Cu: 0.7497 0.9951 0.5070
Cu: 0.9044 0.6564 0.8382

First-principles (PBE-GGA) data for an optimized crystal structure of NpPtAu, as listed in the Alexandria database.

N(E_F)	3.50	states/eV/atom
formation enthalpy at 0 K	-240	meV per atom
distance to the lowest polymorph of the same formula	130	meV/atom
space-group type	F-43m (216)

Cell lengths 4.6555, 4.6555, 4.6555 Å; angles 60.00, 60.00, 60.00 degrees
Positions (direct):
Np: 0.0000 0.0000 0.0000
Pt: 0.7500 0.7500 0.7500
Au: 0.5000 0.5000 0.5000